(1)
Compound: NiHg2
Source: Alexandria
Functional: GGA-PBE
Structure: relaxed

Summary:
M_tot (Bohr magnetons per cell): 0.000
Theoretical density (Mg/m³): 13.22
DFT total energy (eV per atom): -1.854

Cell lengths 3.162, 3.219, 6.735 Å; angles 103.07, 90.25, 119.18 degrees
Space group P-1 (No. 2)
Unique sites:
Ni 0.000 0.000 0.000 x1
Hg 0.234 0.473 0.702 x2

(2)
Compound: Na2Cd2InAg5
Source: Alexandria
Functional: GGA-PBE
Structure: relaxed

Summary:
M_tot (Bohr magnetons per cell): 0.000
Theoretical density (Mg/m³): 7.08
DFT total energy (eV per atom): -2.159

Cell lengths 9.939, 9.939, 4.390 Å; angles 90.00, 90.00, 90.00 degrees
Space group P4/mbm (No. 127)
Unique sites:
Na 0.175 0.325 0.000 x4
Cd 0.123 0.623 0.000 x4
In 0.000 0.000 0.000 x2
Ag 0.000 0.500 0.500 x2
Ag 0.067 0.802 0.500 x8

(3)
Compound: BaInAgAu6
Source: Alexandria
Functional: GGA-PBE
Structure: relaxed

Summary:
M_tot (Bohr magnetons per cell): 0.000
Theoretical density (Mg/m³): 9.75
DFT total energy (eV per atom): -3.137

Cell lengths 7.506, 7.609, 18.382 Å; angles 90.00, 90.00, 90.00 degrees
Space group Imma (No. 74)
Unique sites:
Ba 0.000 0.250 0.075 x4
In 0.000 0.000 0.500 x4
Ag 0.250 0.250 0.750 x4
Au 0.000 0.250 0.381 x4
Au 0.000 0.250 0.871 x4
Au 0.195 0.058 0.624 x16

(4)
Compound: Ba3Ag4Ge2
Source: Alexandria
Functional: GGA-PBE
Structure: relaxed

Summary:
M_tot (Bohr magnetons per cell): 0.000
Theoretical density (Mg/m³): 6.06
DFT total energy (eV per atom): -3.277

Cell lengths 12.413, 4.713, 9.408 Å; angles 90.00, 100.19, 90.00 degrees
Space group C2/m (No. 12)
Unique sites:
Ba 0.000 0.000 0.000 x2
Ba 0.172 0.500 0.664 x4
Ag 0.055 0.000 0.379 x4
Ag 0.216 0.500 0.067 x4
Ge 0.101 0.500 0.284 x4

(5)
Compound: LiGaRu
Source: Alexandria
Functional: GGA-PBE
Structure: relaxed

Summary:
M_tot (Bohr magnetons per cell): 0.000
Theoretical density (Mg/m³): 7.45
Energy above the most stable polymorph in this dataset (eV/atom): 0.029
DFT total energy (eV per atom): -4.954

Cell lengths 4.1917, 4.1917, 5.2101 Å; angles 90.00, 90.00, 120.00 degrees
Space group P6_3/mmc (No. 194)
Unique sites:
Li 0.3333 0.6667 0.2500 x2
Ga 0.3333 0.6667 0.7500 x2
Ru 0.0000 0.0000 0.0000 x2

(6)
Compound: TaTe2H
Source: Alexandria
Functional: GGA-PBE
Structure: relaxed

Summary:
M_tot (Bohr magnetons per cell): 0.000
Theoretical density (Mg/m³): 7.78
Energy above the most stable polymorph in this dataset (eV/atom): 0.475
DFT total energy (eV per atom): -5.311

Cell lengths 3.7844, 3.7844, 22.5649 Å; angles 90.00, 90.00, 120.00 degrees
Space group R-3m (No. 166, hexagonal axes)
Unique sites:
Ta 0.0000 0.0000 0.0000 x3
Te 0.0000 0.0000 0.4111 x6
H 0.0000 0.0000 0.5000 x3